No. 1
Density functional theory data (PBE-GGA) for a relaxed structure of SrTlHgP.

* magnetic moment: 0.0 Bohr magnetons per cell
* space-group type: F-43m, No. 216
* energy of formation from the pure elements: -0.335 eV/atom

Structure (POSCAR):
```
SrTlHgP
1.0
5.390 0.000 0.000
2.695 4.668 0.000
2.695 1.556 4.401
P Tl Sr Hg
1 1 1 1
direct
0.750 0.750 0.750
0.000 0.000 0.000
0.500 0.500 0.500
0.250 0.250 0.250
```

No. 2
Density functional theory data (PBE-GGA) for a relaxed structure of Ta2HgP.

* magnetic moment: 0.0 Bohr magnetons per cell
* offset from the most stable computed form: 227 meV/atom
* space-group type: Cmm2, No. 35
* energy of formation from the pure elements: 0.089 eV/atom

Structure (POSCAR):
```
Ta2HgP
1.0
1.787 -2.339 0.000
1.787 2.339 0.000
0.000 0.000 9.278
Hg P Ta
1 1 2
direct
0.000 0.000 0.519
0.500 0.500 0.198
0.000 0.000 0.010
0.500 0.500 0.773
```

No. 3
Density functional theory data (PBE-GGA) for a relaxed structure of Ta2HgP.

* magnetic moment: 0.0 Bohr magnetons per cell
* offset from the most stable computed form: 133 meV/atom
* space-group type: R-3m, No. 166
* energy of formation from the pure elements: -0.005 eV/atom

Structure (POSCAR):
```
Ta2HgP
1.0
-8.127 -0.499 1.136
-7.760 -2.188 -1.604
-7.272 -3.622 1.260
P Ta Hg
1 2 1
direct
0.000 0.000 0.000
0.735 0.735 0.735
0.265 0.265 0.265
0.500 0.500 0.500
```